Na3Li3CoBr8: relaxed, PBE.

Values from the calculation:
magnetic moment: 3.000 μB per formula unit
formation energy (no corrections): -1.2691 eV/atom
D(E_F): 1.8 states/eV/cell

abc: 13.790 8.005 8.210
angles: 90.00 123.84 90.00
Space group C2/m (No. 12)
One atom of each set of equivalent atoms:
Na (0.000, 0.000, 0.000) [2 per cell]
Na (0.250, 0.250, 0.000) [4 per cell]
Li (0.000, 0.500, 0.500) [2 per cell]
Li (0.250, 0.250, 0.500) [4 per cell]
Co (0.000, 0.000, 0.500) [2 per cell]
Br (0.007, 0.237, 0.284) [8 per cell]
Br (0.230, 0.000, 0.716) [4 per cell]
Br (0.243, 0.500, 0.729) [4 per cell]